# 1
Here is RbSn4Au after structural relaxation from the Alexandria database. Energies are from PBE-GGA.

Unit cell a=6.935 b=7.331 c=8.357 alpha=105.66 beta=114.55 gamma=90.20
Fractional positions:
Sn (0.908, 0.875, 0.576)
Sn (0.609, 0.935, 0.183)
Sn (0.092, 0.125, 0.424)
Au (0.000, 0.500, 0.500)
Sn (0.424, 0.549, 0.813)
Sn (0.667, 0.374, 0.574)
Sn (0.576, 0.451, 0.187)
Au (0.500, 0.000, 0.500)
Rb (0.972, 0.251, 0.001)
Sn (0.391, 0.065, 0.817)
Sn (0.333, 0.626, 0.426)
Rb (0.028, 0.749, 0.999)

Computed properties:
For the energy of formation, the calculation gives -0.09 eV/atom. The symmetry is P-1 (2). Its energy above the lowest structure with this stoichiometry is 12.9 meV/atom. As for the total magnetization: 0.000 μB/atom.

---

# 2
Here is Rb3Sn4Au2 after structural relaxation from the Alexandria database. Energies are from PBE-GGA.

Unit cell a=4.624 b=7.519 c=10.681 alpha=66.43 beta=77.51 gamma=72.19
Fractional positions:
Sn (0.089, 0.471, 0.355)
Rb (0.000, 0.000, 0.000)
Au (0.337, 0.530, 0.792)
Sn (0.716, 0.652, 0.916)
Rb (0.371, 0.878, 0.381)
Rb (0.629, 0.122, 0.619)
Au (0.663, 0.470, 0.208)
Sn (0.911, 0.529, 0.645)
Sn (0.284, 0.348, 0.084)

Computed properties:
For the energy of formation, the calculation gives -0.24 eV/atom. The symmetry is P-1 (2). As for the total magnetization: 0.000 μB/atom.

---

# 3
Here is RbSn6Au after structural relaxation from the Alexandria database. Energies are from PBE-GGA.

Unit cell a=4.986 b=4.986 c=10.089 alpha=90.00 beta=90.00 gamma=90.00
Fractional positions:
Sn (0.500, 0.500, 0.158)
Sn (0.000, 0.500, 0.663)
Au (0.000, 0.000, 0.500)
Rb (0.000, 0.000, 0.000)
Sn (0.500, 0.000, 0.337)
Sn (0.500, 0.500, 0.842)
Sn (0.500, 0.000, 0.663)
Sn (0.000, 0.500, 0.337)

Computed properties:
For the energy of formation, the calculation gives -0.11 eV/atom. The symmetry is P4/mmm (123). As for the total magnetization: 0.000 μB/atom.